## Tb3HfSe6 (PBE-GGA)

Data for an optimized crystal structure of Tb3HfSe6.

a = 8.190 Å, b = 8.190 Å, c = 8.190 Å
α = 98.34°, β = 98.34°, γ = 98.34°
Sites, in units of the cell vectors:
Tb (0.122, 0.629, 0.295)
Tb (0.295, 0.122, 0.629)
Tb (0.371, 0.705, 0.878)
Tb (0.629, 0.295, 0.122)
Tb (0.705, 0.878, 0.371)
Tb (0.878, 0.371, 0.705)
Hf (0.000, 0.000, 0.000)
Hf (0.500, 0.500, 0.500)
Se (0.032, 0.680, 0.930)
Se (0.070, 0.968, 0.320)
Se (0.187, 0.426, 0.566)
Se (0.320, 0.070, 0.968)
Se (0.426, 0.566, 0.187)
Se (0.434, 0.813, 0.574)
Se (0.566, 0.187, 0.426)
Se (0.574, 0.434, 0.813)
Se (0.680, 0.930, 0.032)
Se (0.813, 0.574, 0.434)
Se (0.930, 0.032, 0.680)
Se (0.968, 0.320, 0.070)

## Properties
Its spin magnetization is 0.00 μB per formula unit. The calculation puts the final energy at -6.129 eV/atom. For the raw formation energy, the calculation gives -1654 meV per atom. Its space group is R-3. For the density, the calculation gives 7.08 Mg/m³.